Compound: TcTePdI2
Source: Alexandria via LeMat-Bulk
Functional: PBE-GGA
Structure: optimized geometry

POSCAR file:
```
TcTePdI2
1.0
5.388 0.000 0.000
0.000 5.388 0.000
0.000 0.000 5.472
Tc Te Pd I
1 1 1 2
Cartesian
0.000 0.000 0.000
2.694 2.694 0.000
2.694 2.694 2.736
0.000 2.694 2.736
2.694 0.000 2.736
```

* DOS(E_F): 3.2 states/eV/f.u.
* E_tot: -3.47 eV/atom
* distance to the lowest polymorph of the same formula: 135.5 meV/atom
* ρ: 6.1 Mg/m³
* ΔE_f (raw): 0.89 eV per atom